Entry 1:
The following is a DFT calculation (PBE) of a relaxed AcTl2Hg5 crystal.

Output
The formation energy is -0.22 eV per atom. Its magnetic moment is 0.00 μB/f.u. The value obtained for the raw total energy is -1.517 eV per atom. For the relative energy among the computed polymorphs, the calculation gives 0.0 kJ/mol of atoms.

```
8
Lattice="-0.531 4.461 -2.153 -4.888 -0.822 -0.497 1.233 1.981 9.566" Properties=species:S:1:pos:R:3 pbc="T T T"
Ac 0.000 0.000 0.000
Tl -0.733 1.885 4.088
Tl -3.454 3.735 2.828
Hg -2.710 1.820 -1.325
Hg -1.365 5.060 5.059
Hg -0.643 3.202 1.029
Hg -3.544 2.419 5.887
Hg -2.821 0.560 1.857
```

Entry 2:
The following is a DFT calculation (PBE) of a relaxed YbSn6 crystal.

Output
The formation energy is 0.14 eV per atom. Its magnetic moment is 0.25 μB/f.u. The value obtained for the raw total energy is -3.506 eV per atom.

```
7
Lattice="-3.005 -6.232 -1.359 5.865 -0.994 3.786 -4.494 4.031 3.643" Properties=species:S:1:pos:R:3 pbc="T T T"
Sn 1.773 -2.854 3.070
Sn -1.189 0.968 4.285
Sn -3.406 -0.341 2.999
Sn -3.034 -2.907 1.749
Sn -0.444 -4.164 1.784
Sn 1.401 -0.288 4.321
Yb 0.000 0.000 0.000
```

Entry 3:
The following is a DFT calculation (PBE) of a relaxed SiHg2Pb crystal.

Output
Its magnetic moment is 0.00 μB/f.u. The value obtained for the raw total energy is -2.046 eV per atom. The raw formation energy comes out at 0.388 eV/atom. For the relative energy among the computed polymorphs, the calculation gives 12.0 kJ/mol of atoms.

```
4
Lattice="-3.495 2.841 -1.295 -3.095 -2.892 2.005 0.395 2.228 3.823" Properties=species:S:1:pos:R:3 pbc="T T T"
Hg 0.000 0.000 0.000
Hg -3.295 -0.025 0.355
Si -1.350 -0.332 2.914
Pb -1.550 2.535 1.264
```

Entry 4:
The following is a DFT calculation (PBE) of a relaxed CrNi2GeN crystal.

Output
Its magnetic moment is 0.94 μB/f.u. The value obtained for the raw total energy is -6.937 eV per atom. The raw formation energy comes out at -0.111 eV/atom.

```
5
Lattice="3.804 0.000 0.000 0.000 3.804 0.000 0.000 0.000 3.840" Properties=species:S:1:pos:R:3 pbc="T T T"
Ni 1.902 0.000 0.000
Ni 0.000 1.902 0.000
N 0.000 0.000 0.000
Cr 0.000 0.000 1.920
Ge 1.902 1.902 1.920
```

Entry 5:
The following is a DFT calculation (PBE) of a relaxed Ce4Te3N2 crystal.

Output
Its magnetic moment is 4.05 μB/f.u. The value obtained for the raw total energy is -7.033 eV per atom. The raw formation energy comes out at -1.498 eV/atom. For the relative energy among the computed polymorphs, the calculation gives 0.0 kJ/mol of atoms.

```
36
Lattice="-6.992 0.083 -1.999 -1.538 -10.193 4.956 -2.754 5.205 9.849" Properties=species:S:1:pos:R:3 pbc="T T T"
Te -1.873 0.827 4.720
Te -5.566 -3.458 7.960
Te -6.530 -1.638 11.405
Te -0.910 -0.994 1.275
Te -2.405 -6.496 6.103
Te -8.880 1.591 6.704
Te -5.432 1.232 7.857
Te -5.853 -6.137 4.949
Te -4.755 -3.268 1.401
Te -9.412 -5.732 8.086
Te -5.719 -1.447 4.846
Te -10.375 -3.911 11.531
Ce -3.474 -4.026 4.499
Ce -5.032 -6.739 8.135
Ce -3.623 3.667 7.076
Ce -6.253 1.834 4.671
Ce -7.003 -5.849 1.836
Ce -3.673 -2.831 10.496
Ce -3.945 -8.794 4.247
Ce -7.662 -8.572 5.730
Ce -7.811 -0.879 8.307
Ce -4.282 0.944 10.970
Ce -3.195 -1.111 7.082
Ce -8.090 -3.794 5.724
Ce -7.442 -4.596 10.375
Ce -7.612 -2.074 2.310
Ce -7.340 3.888 8.559
Ce -3.843 -0.309 2.431
N -6.293 -6.595 10.012
N -9.839 -0.773 9.425
N -4.991 1.689 2.794
N -4.274 0.334 0.230
N -7.011 -5.239 12.576
N -2.163 -2.777 5.946
N -9.122 -2.128 6.860
N -1.446 -4.132 3.381
```

Entry 6:
The following is a DFT calculation (PBE) of a relaxed La2Pr9Sm crystal.

Output
The formation energy is 0.01 eV per atom. Its magnetic moment is 0.00 μB/f.u. The value obtained for the raw total energy is -4.788 eV per atom.

```
12
Lattice="-0.438 -5.230 -0.115 5.231 -0.437 -0.051 0.123 -0.356 15.749" Properties=species:S:1:pos:R:3 pbc="T T T"
Pr 2.636 -0.277 2.571
Pr 2.438 -2.951 5.148
Pr 2.479 -3.071 10.435
Pr 2.677 -0.396 7.849
Pr -0.116 -2.912 13.094
Pr 2.718 -0.515 13.126
Pr -0.199 -2.674 2.539
Pr -0.157 -2.793 7.817
Pr 2.397 -2.833 -0.083
Sm 0.000 0.000 0.000
La 0.041 -0.118 5.244
La 0.082 -0.237 10.504
```

Entry 7:
The following is a DFT calculation (PBE) of a relaxed CeErMnCu crystal.

Output
The formation energy is 0.05 eV per atom. Its magnetic moment is 1.67 μB/f.u. The value obtained for the raw total energy is -5.892 eV per atom.

```
4
Lattice="-1.714 -1.937 4.166 -0.318 -4.869 0.491 3.039 -2.361 3.038" Properties=species:S:1:pos:R:3 pbc="T T T"
Cu 0.504 -4.584 3.848
Mn 0.000 0.000 0.000
Ce 0.252 -2.292 1.924
Er 0.756 -6.875 5.772
```

Entry 8:
The following is a DFT calculation (PBE) of a relaxed AlBi3Se crystal.

Output
Its magnetic moment is 0.00 μB/f.u. The value obtained for the raw total energy is -3.185 eV per atom. The raw formation energy comes out at 0.589 eV/atom. For the relative energy among the computed polymorphs, the calculation gives 0.0 kJ/mol of atoms.

```
5
Lattice="-0.439 1.833 -5.105 2.643 -4.400 -1.807 -4.736 -2.625 -0.536" Properties=species:S:1:pos:R:3 pbc="T T T"
Bi -0.219 0.917 -2.552
Bi 1.322 -2.200 -0.904
Bi -2.368 -1.313 -0.268
Al 0.000 0.000 0.000
Se -1.266 -2.596 -3.724
```